## PuSi2Au (PBE)

Data for PuSi2Au after structural relaxation.

Lattice parameters (Å, degrees): 4.4436 7.0477 9.3889 90.00 90.00 90.00
With the nearest neighbours (Å) after each atom.
Atoms (fractional coordinates):
Au  0.2500  0.9962  0.4001  3 Si 2.55-2.69
Au  0.7500  0.5038  0.9001  3 Si 2.55-2.69
Au  0.2500  0.4962  0.0999  3 Si 2.55-2.69
Au  0.7500  0.0038  0.5999  3 Si 2.55-2.69
Si  0.2500  0.3749  0.3668  3 Si 2.50, 2 Au 2.65-2.69
Si  0.2500  0.6694  0.5155  3 Si 2.50, 1 Au 2.55
Si  0.2500  0.1694  0.9845  3 Si 2.50, 1 Au 2.55
Si  0.7500  0.1251  0.8668  3 Si 2.50, 2 Au 2.65-2.69
Si  0.7500  0.6251  0.6332  3 Si 2.50, 2 Au 2.65-2.69
Si  0.7500  0.3306  0.4845  3 Si 2.50, 1 Au 2.55
Si  0.7500  0.8306  0.0155  3 Si 2.50, 1 Au 2.55
Si  0.2500  0.8749  0.1332  3 Si 2.50, 2 Au 2.65-2.69
Pu  0.7500  0.6831  0.3036  9 Si 2.90-3.16, 2 Au 3.21
Pu  0.7500  0.1831  0.1964  9 Si 2.90-3.16, 2 Au 3.21
Pu  0.2500  0.8169  0.8036  9 Si 2.90-3.16, 2 Au 3.21
Pu  0.2500  0.3169  0.6964  9 Si 2.90-3.16, 2 Au 3.21

Computed properties:
DFT total energy, eV/atom: -7.454
Crystal system: orthorhombic
SG: Pnma

---

## Tb2PmZrAs4 (PBE)

Data for Tb2PmZrAs4 after structural relaxation.

Lattice parameters (Å, degrees): 4.0859 7.0819 7.0722 109.28 90.00 90.00
With the nearest neighbours (Å) after each atom.
Atoms (fractional coordinates):
As  0.0000  0.2397  0.7518  1 Zr 2.82, 3 Tb 2.87-2.96, 2 Pm 2.92
As  0.5000  0.2370  0.2411  2 Zr 2.83, 3 Tb 2.86-2.96, 1 Pm 2.91
As  0.0000  0.7603  0.2482  1 Zr 2.82, 3 Tb 2.87-2.96, 2 Pm 2.92
As  0.5000  0.7630  0.7589  2 Zr 2.83, 3 Tb 2.86-2.96, 1 Pm 2.91
Zr  0.0000  0.0000  0.0000  6 As 2.82-2.83
Tb  0.0000  0.5000  0.5000  6 As 2.96
Tb  0.5000  0.0000  0.5000  6 As 2.86-2.87
Pm  0.5000  0.5000  0.0000  6 As 2.91-2.92

Computed properties:
DFT total energy, eV/atom: -6.562
Crystal system: monoclinic
ΔE_f, eV per atom: -1.418
SG: P2/m

---

## MnTl2Hg (PBE)

Data for MnTl2Hg after structural relaxation.

Lattice parameters (Å, degrees): 3.2971 3.2971 10.0182 90.00 90.00 112.29
With the nearest neighbours (Å) after each atom.
Atoms (fractional coordinates):
Tl  0.0000  0.0000  0.5210  2 Mn 2.94, 2 Hg 3.28
Tl  0.0000  0.0000  0.9790  2 Mn 2.94, 2 Hg 3.28
Mn  0.5000  0.5000  0.7500  4 Tl 2.94
Hg  0.5000  0.5000  0.2500  4 Tl 3.28, 4 Hg 3.30

Computed properties:
DFT total energy, eV/atom: -3.177
Crystal system: orthorhombic
ΔE_f, eV per atom: 0.374
SG: Cmmm

---

## Li3IrN (PBE)

Data for Li3IrN after structural relaxation.

Lattice parameters (Å, degrees): 3.8415 3.8415 3.8415 90.00 90.00 90.00
With the nearest neighbours (Å) after each atom.
Atoms (fractional coordinates):
Li  0.0000  0.5000  0.0000  2 N 1.92
Li  0.0000  0.0000  0.5000  2 N 1.92
Li  0.5000  0.0000  0.0000  2 N 1.92
N  0.0000  0.0000  0.0000  6 Li 1.92
Ir  0.5000  0.5000  0.5000  12 Li 2.72

Computed properties:
DFT total energy, eV/atom: -4.157
Crystal system: cubic
SG: Pm-3m

---

## HoP2H5O10 (PBE)

Data for HoP2H5O10 after structural relaxation.

Lattice parameters (Å, degrees): 6.4398 6.9147 9.9414 97.80 97.86 89.14
With the nearest neighbours (Å) after each atom.
Atoms (fractional coordinates):
Ho  0.6340  0.7412  0.4619  7 O 2.25-2.47
Ho  0.3660  0.2588  0.5381  7 O 2.25-2.47
H  0.7594  0.2534  0.7608  1 O 0.99
H  0.9859  0.1789  0.9864  1 O 1.02
H  0.7123  0.4746  0.7341  1 O 0.98
H  0.8586  0.7916  0.2161  1 O 0.99
H  0.2406  0.7466  0.2392  1 O 0.99
H  0.0141  0.8211  0.0136  1 O 1.02
H  0.1414  0.2084  0.7839  1 O 0.99
H  0.3718  0.2939  0.8363  1 O 0.97
H  0.2877  0.5254  0.2659  1 O 0.98
H  0.6282  0.7061  0.1637  1 O 0.97
O  0.0370  0.2552  0.0796  1 H 1.02
O  0.3505  0.6552  0.2721  2 H 0.98-0.99
O  0.0124  0.2528  0.5223  1 P 1.51
O  0.3367  0.9317  0.5437  1 P 1.54
O  0.7523  0.7651  0.6930  1 P 1.51
O  0.9309  0.0775  0.8323  1 P 1.53, 1 H 1.59
O  0.8481  0.1918  0.2729  2 P 1.62
O  0.5107  0.0897  0.0087  1 O 1.24
O  0.4893  0.9103  0.9913  1 O 1.24
O  0.0691  0.9225  0.1677  1 P 1.53, 1 H 1.59
O  0.6633  0.0683  0.4563  1 P 1.54
O  0.7400  0.7204  0.2407  2 H 0.97-0.99
O  0.2600  0.2796  0.7593  2 H 0.97-0.99
O  0.9876  0.7472  0.4777  1 P 1.51
O  0.1519  0.8082  0.7271  2 P 1.62
O  0.6624  0.4143  0.4415  1 P 1.54
O  0.6495  0.3448  0.7279  2 H 0.98-0.99
O  0.2477  0.2349  0.3070  1 P 1.51
O  0.9630  0.7448  0.9204  1 H 1.02
O  0.3376  0.5857  0.5585  1 P 1.54
P  0.0642  0.1441  0.2082  4 O 1.51-1.62
P  0.1950  0.7657  0.5689  4 O 1.51-1.62
P  0.9358  0.8559  0.7918  4 O 1.51-1.62
P  0.8050  0.2343  0.4311  4 O 1.51-1.62

Computed properties:
DFT total energy, eV/atom: -6.403
Crystal system: triclinic
SG: P-1

---

## SbTe2PbI (PBE)

Data for SbTe2PbI after structural relaxation.

Lattice parameters (Å, degrees): 5.8351 5.8351 5.8014 90.00 90.00 90.00
With the nearest neighbours (Å) after each atom.
Atoms (fractional coordinates):
Te  0.5000  0.0000  0.0000  2 Sb 2.92
Te  0.0000  0.5000  0.0000  2 Sb 2.92
Pb  0.5000  0.5000  0.5000  8 Te 4.11, 4 I 4.13
Sb  0.0000  0.0000  0.0000  2 I 2.90, 4 Te 2.92
I  0.0000  0.0000  0.5000  2 Sb 2.90

Computed properties:
DFT total energy, eV/atom: -2.939
Crystal system: tetragonal
SG: P4/mmm

---

## Tm2HgB2Rh5 (PBE)

Data for Tm2HgB2Rh5 after structural relaxation.

Lattice parameters (Å, degrees): 3.2131 9.6364 9.6364 90.00 90.00 90.00
With the nearest neighbours (Å) after each atom.
Atoms (fractional coordinates):
Hg  0.0000  0.0000  0.0000  8 Rh 2.80
Hg  0.0000  0.5000  0.5000  8 Rh 2.80
Rh  0.5000  0.9292  0.2276  2 B 2.22
Rh  0.5000  0.7724  0.9292  2 B 2.22
Rh  0.5000  0.2724  0.5708  2 B 2.22
Rh  0.5000  0.0708  0.7724  2 B 2.22
Rh  0.5000  0.5000  0.0000  4 B 2.31
Rh  0.5000  0.0000  0.5000  4 B 2.31
Rh  0.5000  0.7276  0.4292  2 B 2.22
Rh  0.5000  0.2276  0.0708  2 B 2.22
Rh  0.5000  0.5708  0.7276  2 B 2.22
Rh  0.5000  0.4292  0.2724  2 B 2.22
B  0.0000  0.8778  0.3778  6 Rh 2.22-2.31
B  0.0000  0.3778  0.1222  6 Rh 2.22-2.31
B  0.0000  0.6222  0.8778  6 Rh 2.22-2.31
B  0.0000  0.1222  0.6222  6 Rh 2.22-2.31
Tm  0.0000  0.8243  0.6757  3 B 2.75-2.92, 10 Rh 2.88-3.01
Tm  0.0000  0.6757  0.1757  3 B 2.75-2.92, 10 Rh 2.88-3.01
Tm  0.0000  0.1757  0.3243  3 B 2.75-2.92, 10 Rh 2.88-3.01
Tm  0.0000  0.3243  0.8243  3 B 2.75-2.92, 10 Rh 2.88-3.01

Computed properties:
DFT total energy, eV/atom: -6.656
Crystal system: tetragonal
ΔE_f, eV per atom: -0.720
SG: P4/mbm

---

## Na2PaMnS4 (PBE)

Data for Na2PaMnS4 after structural relaxation.

Lattice parameters (Å, degrees): 3.9242 6.5511 7.0716 108.33 90.00 90.00
With the nearest neighbours (Å) after each atom.
Atoms (fractional coordinates):
S  0.5000  0.2489  0.2281  1 Mn 2.64, 2 Pa 2.73, 3 Na 2.87-2.89
S  0.0000  0.7330  0.2168  2 Mn 2.66, 1 Pa 2.66, 3 Na 2.87-2.95
S  0.0000  0.2670  0.7832  2 Mn 2.66, 1 Pa 2.66, 3 Na 2.87-2.95
S  0.5000  0.7511  0.7719  1 Mn 2.64, 2 Pa 2.73, 3 Na 2.87-2.89
Pa  0.0000  0.0000  0.0000  6 S 2.66-2.73
Na  0.5000  0.0000  0.5000  6 S 2.89-2.95
Na  0.0000  0.5000  0.5000  6 S 2.87
Mn  0.5000  0.5000  0.0000  6 S 2.64-2.66

Computed properties:
DFT total energy, eV/atom: -5.951
Crystal system: monoclinic
SG: P2/m